Material: PrTmAgRu
Method: DFT, PBE
State: optimized geometry

Properties
energy of formation = -0.334 eV/atom
mass density = 9.43 Mg/m³
relative energy among the computed polymorphs = 0.0 kJ/mol of atoms
total magnetization = 0.00 μB per atom
crystal system = tetragonal

extended XYZ file:
```
4
Lattice="3.456 0.000 0.000 0.000 3.456 0.000 0.000 0.000 7.646" Properties=species:S:1:pos:R:3 pbc="T T T"
Pr 0.000 0.000 0.000
Tm 0.000 0.000 4.239
Ag 1.728 1.728 2.319
Ru 1.728 1.728 5.808
```